! Sc2InTc | Alexandria via LeMat-Bulk | PBE | optimized geometry; values from VASP
&SYSTEM
  ibrav = 0, nat = 4, ntyp = 3
/
ATOMIC_SPECIES
Sc 44.96 Sc.upf
In 114.82 In.upf
Tc 98.00 Tc.upf
ATOMIC_POSITIONS angstrom
Sc 0.0000 0.0000 0.0000
Sc 0.0000 0.0000 6.5535
In 0.0000 0.0000 13.4202
Tc 0.0000 0.0000 20.6942
CELL_PARAMETERS angstrom
1.6144 0.9321 9.3852
-1.6144 0.9321 9.3852
0.0000 -1.8642 9.3852
! Energy of formation in eV per atom: 0.1012
! ρ in g cm⁻³: 5.93
! Crystal system: trigonal
! Raw total energy in Ha/atom: -0.2330
! Space group: R3m (160)

---

! KAc2ReO6 | Alexandria via LeMat-Bulk | PBE | optimized geometry; values from VASP
&SYSTEM
  ibrav = 0, nat = 10, ntyp = 4
/
ATOMIC_SPECIES
K 39.10 K.upf
Ac 227.00 Ac.upf
Re 186.21 Re.upf
O 16.00 O.upf
ATOMIC_POSITIONS angstrom
K 0.0000 0.0000 0.0000
Ac 0.0000 2.8545 2.6085
Ac 2.8545 0.0000 2.6085
Re 2.8545 2.8545 0.3636
O 0.0000 0.0000 3.1985
O 1.6090 1.6090 1.2208
O 1.6090 4.1000 1.2208
O 2.8545 2.8545 4.3225
O 4.1000 1.6090 1.2208
O 4.1000 4.1000 1.2208
CELL_PARAMETERS angstrom
5.7090 0.0000 0.0000
0.0000 5.7090 0.0000
0.0000 0.0000 5.7527
! ρ in g cm⁻³: 6.87
! Crystal system: tetragonal
! E_form (uncorrected) in eV/f.u.: -22.486
! Raw total energy in Ha/atom: -0.2719
! Space group: P4mm (99)

---

! MoPtIN2 | Alexandria via LeMat-Bulk | PBE | optimized geometry; values from VASP
&SYSTEM
  ibrav = 0, nat = 5, ntyp = 4
/
ATOMIC_SPECIES
Mo 95.94 Mo.upf
Pt 195.08 Pt.upf
I 126.90 I.upf
N 14.01 N.upf
ATOMIC_POSITIONS angstrom
Mo 0.0000 0.0000 0.0000
Pt 1.9325 1.9325 3.9096
I 1.9325 1.9325 0.0000
N 0.0000 1.9325 3.9096
N 1.9325 0.0000 3.9096
CELL_PARAMETERS angstrom
3.8651 0.0000 0.0000
0.0000 3.8651 0.0000
0.0000 0.0000 7.8192
! ρ in g cm⁻³: 6.34
! Crystal system: tetragonal
! E_form (uncorrected) in eV/f.u.: 8.391
! Raw total energy in Ha/atom: -0.1961
! Space group: P4/mmm (123)

---

! CdPd3Au6 | Alexandria via LeMat-Bulk | PBE | optimized geometry; values from VASP
&SYSTEM
  ibrav = 0, nat = 20, ntyp = 3
/
ATOMIC_SPECIES
Cd 112.41 Cd.upf
Pd 106.42 Pd.upf
Au 196.97 Au.upf
ATOMIC_POSITIONS angstrom
Cd 3.9065 5.9457 2.6689
Cd 3.9065 -5.9457 0.0000
Pd 1.4032 2.0707 2.5710
Pd 1.4032 -2.0707 5.2399
Pd 3.9065 1.7284 3.6563
Pd 3.9065 -1.7284 0.9874
Pd 6.4099 2.0707 2.5710
Pd 6.4099 -2.0707 5.2399
Au 3.9065 8.4990 1.5201
Au 2.4136 4.0050 4.3003
Au 2.4645 0.6374 0.3860
Au 3.9065 3.0457 1.2257
Au 2.4645 -0.6374 3.0549
Au 5.3995 4.0050 4.3003
Au 2.4136 -4.0050 1.6314
Au 5.3486 0.6374 0.3860
Au 3.9065 -3.0457 3.8946
Au 5.3486 -0.6374 3.0549
Au 5.3995 -4.0050 1.6314
Au 3.9065 -8.4990 4.1890
CELL_PARAMETERS angstrom
3.9065 -8.6848 0.0000
3.9065 8.6848 0.0000
0.0000 0.0000 5.3378
! Energy of formation in eV per atom: -0.0389
! ρ in g cm⁻³: 14.79
! Crystal system: orthorhombic
! Raw total energy in Ha/atom: -0.1343
! Space group: Cmc2_1 (36)

---

! Eu2HoTl | Alexandria via LeMat-Bulk | PBE | optimized geometry; values from VASP
&SYSTEM
  ibrav = 0, nat = 4, ntyp = 3
/
ATOMIC_SPECIES
Eu 151.96 Eu.upf
Ho 164.93 Ho.upf
Tl 204.38 Tl.upf
ATOMIC_POSITIONS angstrom
Eu 2.0101 2.0101 2.0101
Eu 6.0304 6.0304 6.0304
Ho 0.0000 0.0000 0.0000
Tl 4.0202 4.0202 4.0202
CELL_PARAMETERS angstrom
0.0000 4.0202 4.0202
4.0202 0.0000 4.0202
4.0202 4.0202 0.0000
! Energy of formation in eV per atom: -0.0417
! ρ in g cm⁻³: 8.60
! Crystal system: cubic
! Raw total energy in Ha/atom: -0.2541
! Space group: Fm-3m (225)

---

! Dy4Y3Ho5 | Alexandria via LeMat-Bulk | PBE | optimized geometry; values from VASP
&SYSTEM
  ibrav = 0, nat = 12, ntyp = 3
/
ATOMIC_SPECIES
Dy 162.50 Dy.upf
Y 88.91 Y.upf
Ho 164.93 Ho.upf
ATOMIC_POSITIONS angstrom
Dy 1.0282 0.0063 2.8757
Dy 2.0582 5.3153 5.7745
Dy 4.1061 1.7730 2.8909
Dy 5.1362 7.0821 5.7897
Y 2.0591 1.7694 5.7689
Y 3.0744 3.5435 0.0000
Y 4.1052 5.3190 2.8965
Ho 0.0314 5.3202 8.6609
Ho 1.0266 3.5440 2.8811
Ho 3.0676 0.0000 0.0000
Ho 5.1377 3.5444 5.7843
Ho 6.1329 1.7682 0.0045
CELL_PARAMETERS angstrom
6.1351 0.0000 0.0000
0.0137 7.0870 0.0000
0.0156 0.0014 8.6654
! Energy of formation in eV per atom: 0.0211
! ρ in g cm⁻³: 7.67
! Crystal system: triclinic
! Raw total energy in Ha/atom: -0.1851
! Space group: P-1 (2)

---

! Sr4FePb | Alexandria via LeMat-Bulk | PBE | optimized geometry; values from VASP
&SYSTEM
  ibrav = 0, nat = 6, ntyp = 3
/
ATOMIC_SPECIES
Sr 87.62 Sr.upf
Fe 55.84 Fe.upf
Pb 207.20 Pb.upf
ATOMIC_POSITIONS angstrom
Sr 1.2355 1.2355 1.2355
Sr 3.7140 3.7140 1.2355
Sr 3.7140 1.2355 3.7140
Sr 1.2355 3.7140 3.7140
Fe 7.4242 7.4242 7.4242
Pb 4.9495 4.9495 4.9495
CELL_PARAMETERS angstrom
0.0000 4.9495 4.9495
4.9495 0.0000 4.9495
4.9495 4.9495 0.0000
! Energy of formation in eV per atom: 0.7425
! ρ in g cm⁻³: 4.20
! Crystal system: cubic
! Raw total energy in Ha/atom: -0.0885
! Space group: F-43m (216)

---

! Mg2In2Ni | Alexandria via LeMat-Bulk | PBE | optimized geometry; values from VASP
&SYSTEM
  ibrav = 0, nat = 10, ntyp = 3
/
ATOMIC_SPECIES
Mg 24.30 Mg.upf
In 114.82 In.upf
Ni 58.69 Ni.upf
ATOMIC_POSITIONS angstrom
Mg 1.0627 2.3424 0.0000
Mg 2.3424 5.7475 0.0000
Mg 4.4678 1.0627 0.0000
Mg 5.7475 4.4678 0.0000
In 1.1090 4.5141 2.2984
In 2.2961 1.1090 2.2984
In 4.5141 5.7012 2.2984
In 5.7012 2.2961 2.2984
Ni 0.0000 0.0000 0.0000
Ni 3.4051 3.4051 0.0000
CELL_PARAMETERS angstrom
6.8102 0.0000 0.0000
0.0000 6.8102 0.0000
0.0000 0.0000 4.5969
! Energy of formation in eV per atom: 0.1534
! ρ in g cm⁻³: 5.25
! Crystal system: tetragonal
! Raw total energy in Ha/atom: -0.1005
! Space group: P4/mbm (127)